# 1
Crystalline Tb12Pm2Sm5 at its relaxed geometry. Source: Alexandria, functional PBE.

a = 9.3064 Å, b = 12.3744 Å, c = 8.6990 Å
α = 132.58°, β = 90.00°, γ = 112.09°
Last column: nearest neighbours and their distance in Å.
Fractional positions:
Tb  0.9693  0.2968  0.0557  3 Tb 3.33-3.52, 1 Pm 3.36, 4 Sm 3.52-3.70
Pm  0.6730  0.0000  0.0000  1 Pm 3.22, 8 Tb 3.36-3.60
Sm  0.2310  0.4619  0.8906  8 Tb 3.38-3.69, 2 Sm 3.60-3.65
Tb  0.3275  0.2968  0.0557  3 Tb 3.33-3.52, 1 Pm 3.36, 4 Sm 3.52-3.70
Sm  0.0000  0.0000  0.5000  10 Tb 3.41-3.79, 2 Sm 3.65
Sm  0.7081  0.4162  0.3914  8 Tb 3.50-3.73, 1 Sm 3.60, 2 Pm 3.64
Tb  0.8222  0.2608  0.5908  4 Sm 3.40-3.79, 5 Tb 3.44-3.57, 1 Pm 3.60
Tb  0.1778  0.7392  0.4092  4 Sm 3.40-3.79, 5 Tb 3.44-3.57, 1 Pm 3.60
Tb  0.0734  0.1468  0.2720  3 Tb 3.23-3.51, 2 Sm 3.41-3.50, 2 Pm 3.45
Sm  0.2919  0.5838  0.6086  8 Tb 3.50-3.73, 1 Sm 3.60, 2 Pm 3.64
Sm  0.7690  0.5381  0.1094  8 Tb 3.38-3.69, 2 Sm 3.60-3.65
Tb  0.0307  0.7032  0.9443  3 Tb 3.33-3.52, 1 Pm 3.36, 4 Sm 3.52-3.70
Tb  0.6725  0.7032  0.9443  3 Tb 3.33-3.52, 1 Pm 3.36, 4 Sm 3.52-3.70
Tb  0.5571  0.1143  0.7756  2 Sm 3.38-3.69, 7 Tb 3.39-3.54, 2 Pm 3.44
Tb  0.9266  0.8532  0.7280  3 Tb 3.23-3.51, 2 Sm 3.41-3.50, 2 Pm 3.45
Tb  0.5614  0.7392  0.4092  4 Sm 3.40-3.79, 5 Tb 3.44-3.57, 1 Pm 3.60
Tb  0.4429  0.8857  0.2244  2 Sm 3.38-3.69, 7 Tb 3.39-3.54, 2 Pm 3.44
Tb  0.4386  0.2608  0.5908  4 Sm 3.40-3.79, 5 Tb 3.44-3.57, 1 Pm 3.60
Pm  0.3270  0.0000  0.0000  1 Pm 3.22, 8 Tb 3.36-3.60

Values from the calculation:
As for the space group: C2/m. As for the energy above the lowest structure with this stoichiometry: 1.26 eV per formula unit. For the density of states at the Fermi level, the calculation gives 26.2 states/eV/cell. The calculation puts the formation energy at 127 meV per atom.

# 2
Crystalline TbPmSm6 at its relaxed geometry. Source: Alexandria, functional PBE.

a = 6.2747 Å, b = 6.2747 Å, c = 8.0994 Å
α = 105.00°, β = 105.00°, γ = 109.38°
Last column: nearest neighbours and their distance in Å.
Fractional positions:
Sm  0.8753  0.3754  0.7507  8 Sm 3.61-3.63, 2 Pm 3.62, 2 Tb 3.62
Pm  0.5000  0.5000  0.0000  10 Sm 3.62, 2 Tb 3.63
Sm  0.7502  0.7502  0.5003  1 Tb 3.62, 1 Pm 3.62, 10 Sm 3.62-3.63
Sm  0.2498  0.2498  0.4997  1 Tb 3.62, 1 Pm 3.62, 10 Sm 3.62-3.63
Sm  0.3754  0.8753  0.7507  8 Sm 3.61-3.63, 2 Pm 3.62, 2 Tb 3.62
Sm  0.6246  0.1247  0.2493  8 Sm 3.61-3.63, 2 Pm 3.62, 2 Tb 3.62
Sm  0.1247  0.6246  0.2493  8 Sm 3.61-3.63, 2 Pm 3.62, 2 Tb 3.62
Tb  0.0000  0.0000  0.0000  10 Sm 3.62, 2 Pm 3.63

Values from the calculation:
As for the space group: Fmmm. As for the energy above the lowest structure with this stoichiometry: 0.00 eV per formula unit. For the density of states at the Fermi level, the calculation gives 12.2 states/eV/cell. The calculation puts the formation energy at 15 meV per atom.

# 3
Crystalline TbPm12Sm3 at its relaxed geometry. Source: Alexandria, functional PBE.

a = 5.1472 Å, b = 5.1472 Å, c = 20.5636 Å
α = 90.00°, β = 90.00°, γ = 90.00°
Last column: nearest neighbours and their distance in Å.
Fractional positions:
Sm  0.0000  0.0000  0.5000  12 Pm 3.64
Pm  0.0000  0.5000  0.1241  8 Pm 3.62-3.64, 2 Tb 3.62, 2 Sm 3.64
Pm  0.5000  0.5000  0.7508  8 Pm 3.64, 4 Sm 3.64
Pm  0.0000  0.5000  0.3746  8 Pm 3.64, 4 Sm 3.64
Pm  0.0000  0.5000  0.8759  2 Tb 3.62, 8 Pm 3.62-3.64, 2 Sm 3.64
Pm  0.5000  0.5000  0.2492  8 Pm 3.64, 4 Sm 3.64
Pm  0.5000  0.0000  0.3746  8 Pm 3.64, 4 Sm 3.64
Pm  0.5000  0.0000  0.1241  8 Pm 3.62-3.64, 2 Tb 3.62, 2 Sm 3.64
Pm  0.5000  0.0000  0.6254  8 Pm 3.64, 4 Sm 3.64
Pm  0.5000  0.5000  0.0000  8 Pm 3.62, 4 Tb 3.64
Pm  0.0000  0.5000  0.6254  8 Pm 3.64, 4 Sm 3.64
Sm  0.0000  0.0000  0.2494  12 Pm 3.64
Pm  0.5000  0.5000  0.5000  4 Sm 3.64, 8 Pm 3.64
Tb  0.0000  0.0000  0.0000  12 Pm 3.62-3.64
Pm  0.5000  0.0000  0.8759  2 Tb 3.62, 8 Pm 3.62-3.64, 2 Sm 3.64
Sm  0.0000  0.0000  0.7506  12 Pm 3.64

Values from the calculation:
As for the space group: P4/mmm. For the density of states at the Fermi level, the calculation gives 23.7 states/eV/cell. The calculation puts the formation energy at 13 meV per atom.

# 4
Crystalline Tb3Pm7Sm at its relaxed geometry. Source: Alexandria, functional PBE.

a = 8.6949 Å, b = 7.1981 Å, c = 7.1981 Å
α = 120.00°, β = 90.00°, γ = 90.00°
Last column: nearest neighbours and their distance in Å.
Fractional positions:
Pm  0.4551  0.8328  0.6655  2 Tb 3.53, 7 Pm 3.55-3.64, 2 Sm 3.60
Pm  0.1114  0.1673  0.3346  2 Tb 3.53, 1 Sm 3.55, 8 Pm 3.59-3.64
Tb  0.7830  0.4999  0.5001  5 Pm 3.53-3.62, 4 Tb 3.60, 1 Sm 3.61
Tb  0.7830  0.0002  0.5001  5 Pm 3.53-3.62, 4 Tb 3.60, 1 Sm 3.61
Pm  0.1114  0.6654  0.8327  2 Tb 3.53, 1 Sm 3.55, 8 Pm 3.59-3.64
Tb  0.7830  0.4999  0.9998  5 Pm 3.53-3.62, 4 Tb 3.60, 1 Sm 3.61
Pm  0.1234  0.6667  0.3333  9 Pm 3.55-3.60, 3 Tb 3.62
Pm  0.1114  0.1673  0.8327  2 Tb 3.53, 1 Sm 3.55, 8 Pm 3.59-3.64
Pm  0.4551  0.3345  0.1672  2 Tb 3.53, 7 Pm 3.55-3.64, 2 Sm 3.60
Sm  0.4432  0.3333  0.6667  9 Pm 3.55-3.60, 3 Tb 3.61
Pm  0.4551  0.8328  0.1672  2 Tb 3.53, 7 Pm 3.55-3.64, 2 Sm 3.60

Values from the calculation:
As for the space group: P3m1. As for the energy above the lowest structure with this stoichiometry: 0.00 eV per formula unit. For the density of states at the Fermi level, the calculation gives 17.3 states/eV/cell. The calculation puts the formation energy at 183 meV per atom.

# 5
Crystalline Tb4Pm2Sm3 at its relaxed geometry. Source: Alexandria, functional PBE.

a = 6.2356 Å, b = 6.2425 Å, c = 12.9720 Å
α = 118.74°, β = 103.86°, γ = 119.95°
Last column: nearest neighbours and their distance in Å.
Fractional positions:
Tb  0.1098  0.2202  0.3324  5 Sm 3.59-3.62, 3 Tb 3.59-3.62, 4 Pm 3.60-3.61
Tb  0.8902  0.7798  0.6676  5 Sm 3.59-3.62, 3 Tb 3.59-3.62, 4 Pm 3.60-3.61
Sm  0.0000  0.0000  0.0000  8 Tb 3.59-3.61, 2 Pm 3.60, 2 Sm 3.60
Tb  0.3334  0.6661  0.0000  5 Sm 3.59-3.61, 5 Tb 3.59-3.61, 2 Pm 3.60
Sm  0.4428  0.8876  0.3322  6 Tb 3.59-3.62, 4 Pm 3.60-3.62, 2 Sm 3.60-3.61
Pm  0.2236  0.4464  0.6674  6 Tb 3.60-3.61, 5 Sm 3.60-3.62, 1 Pm 3.62
Sm  0.5572  0.1124  0.6678  6 Tb 3.59-3.62, 4 Pm 3.60-3.62, 2 Sm 3.60-3.61
Pm  0.7764  0.5536  0.3326  6 Tb 3.60-3.61, 5 Sm 3.60-3.62, 1 Pm 3.62
Tb  0.6666  0.3339  0.0000  5 Sm 3.59-3.61, 5 Tb 3.59-3.61, 2 Pm 3.60

Values from the calculation:
As for the space group: P-1. As for the energy above the lowest structure with this stoichiometry: 0.00 eV per formula unit. For the density of states at the Fermi level, the calculation gives 12.1 states/eV/cell. The calculation puts the formation energy at 14 meV per atom.

# 6
Crystalline Tb9Pm4Sm11 at its relaxed geometry. Source: Alexandria, functional PBE.

a = 3.7102 Å, b = 15.3285 Å, c = 15.3285 Å
α = 112.81°, β = 90.00°, γ = 90.00°
Last column: nearest neighbours and their distance in Å.
Fractional positions:
Sm  0.0000  0.4072  0.0451  2 Pm 3.42, 6 Tb 3.53-3.73, 3 Sm 3.61-3.71
Pm  0.5000  0.4459  0.2441  6 Sm 3.31-3.42, 3 Tb 3.56-3.68
Sm  0.0000  0.0000  0.0000  8 Tb 3.53, 2 Sm 3.71
Tb  0.5000  0.1630  0.6343  3 Tb 3.44-3.71, 8 Sm 3.53-3.73, 1 Pm 3.56
Sm  0.0000  0.3660  0.6340  4 Pm 3.33, 4 Tb 3.62, 2 Sm 3.71
Tb  0.5000  0.5000  0.5000  4 Pm 3.68, 2 Tb 3.71, 8 Sm 3.89-4.01
Tb  0.5000  0.9337  0.7878  8 Sm 3.53-3.72, 1 Pm 3.56, 3 Tb 3.71-3.73
Pm  0.5000  0.7559  0.5541  6 Sm 3.31-3.42, 3 Tb 3.56-3.68
Pm  0.5000  0.5541  0.7559  6 Sm 3.31-3.42, 3 Tb 3.56-3.68
Sm  0.0000  0.0451  0.4072  2 Pm 3.42, 6 Tb 3.53-3.73, 3 Sm 3.61-3.71
Tb  0.5000  0.3657  0.8370  3 Tb 3.44-3.71, 8 Sm 3.53-3.73, 1 Pm 3.56
Tb  0.5000  0.6343  0.1630  3 Tb 3.44-3.71, 8 Sm 3.53-3.73, 1 Pm 3.56
Sm  0.0000  0.1591  0.8409  8 Tb 3.69-3.72, 5 Sm 3.71-4.06
Tb  0.5000  0.0663  0.2122  8 Sm 3.53-3.72, 1 Pm 3.56, 3 Tb 3.71-3.73
Sm  0.0000  0.8409  0.1591  8 Tb 3.69-3.72, 5 Sm 3.71-4.06
Tb  0.5000  0.2122  0.0663  8 Sm 3.53-3.72, 1 Pm 3.56, 3 Tb 3.71-3.73
Tb  0.5000  0.8370  0.3657  3 Tb 3.44-3.71, 8 Sm 3.53-3.73, 1 Pm 3.56
Sm  0.0000  0.9549  0.5928  2 Pm 3.42, 6 Tb 3.53-3.73, 3 Sm 3.61-3.71
Sm  0.0000  0.2904  0.2904  4 Pm 3.31, 4 Tb 3.67
Sm  0.0000  0.5928  0.9549  2 Pm 3.42, 6 Tb 3.53-3.73, 3 Sm 3.61-3.71
Sm  0.0000  0.6340  0.3660  4 Pm 3.33, 4 Tb 3.62, 2 Sm 3.71
Pm  0.5000  0.2441  0.4459  6 Sm 3.31-3.42, 3 Tb 3.56-3.68
Tb  0.5000  0.7878  0.9337  8 Sm 3.53-3.72, 1 Pm 3.56, 3 Tb 3.71-3.73
Sm  0.0000  0.7096  0.7096  4 Pm 3.31, 4 Tb 3.67

Values from the calculation:
As for the space group: Cmmm. For the density of states at the Fermi level, the calculation gives 30.9 states/eV/cell. The calculation puts the formation energy at 59 meV per atom.

M_tot (μB/atom)
0.000, 0.000, 0.000, 0.000, 0.000, 0.000